Entry 1:
Sr2FeHgP (PBE, relaxed); formation energy = 0.25 eV per atom; spin magnetization = 2.62 μB/f.u.; SG = P4/mmm (123); calculated density = 4.5 g/cm³; calculated volume = 172 Å³/f.u.; E = -3.255 eV per atom
1.0
5.817 0.000 0.000
0.000 5.081 0.000
0.000 0.000 5.817
Sr Hg P Fe
2 1 1 1
direct
0.000 0.000 0.500
0.500 0.000 0.000
0.000 0.500 0.000
0.000 0.000 0.000
0.500 0.500 0.500

Entry 2:
FeHgP2W (PBE, relaxed); formation energy = 2.16 eV per atom; spin magnetization = 0.06 μB/f.u.; SG = P4/mmm (123); calculated density = 7.5 g/cm³; calculated volume = 111 Å³/f.u.; E = -4.343 eV per atom
1.0
-0.532 -3.040 3.737
-1.045 -3.509 -3.003
4.697 -1.162 -0.277
P Hg W Fe
2 1 1 1
direct
0.000 0.000 0.500
0.500 0.000 0.000
0.000 0.000 0.000
0.500 0.500 0.500
0.000 0.500 0.000

Entry 3:
PaFeHg (PBE, relaxed); formation energy = -0.05 eV per atom; spin magnetization = 0.00 μB/f.u.; SG = P-1 (2); calculated density = 12.2 g/cm³; calculated volume = 67 Å³/f.u.; E = -6.134 eV per atom
1.0
-1.615 0.537 3.339
3.024 -2.196 -0.286
6.422 8.679 1.729
Pa Fe Hg
2 2 2
direct
0.340 0.478 0.364
0.341 0.482 0.703
0.673 0.146 0.489
0.008 0.814 0.579
0.008 0.813 0.137
0.673 0.146 0.930

Entry 4:
PaFe4Hg (PBE, relaxed); formation energy = 0.04 eV per atom; spin magnetization = 7.25 μB/f.u.; SG = F-43m (216); calculated density = 11.9 g/cm³; calculated volume = 92 Å³/f.u.; E = -7.235 eV per atom
1.0
-0.551 3.911 -3.168
-3.975 3.100 0.472
0.665 4.730 1.678
Pa Hg Fe
1 1 4
direct
0.250 0.250 0.250
0.000 0.000 0.000
0.624 0.624 0.128
0.624 0.128 0.624
0.624 0.624 0.624
0.128 0.624 0.624

Entry 5:
FeHgPb (PBE, relaxed); formation energy = 0.51 eV per atom; spin magnetization = 2.71 μB/f.u.; SG = P3m1 (156); calculated density = 11.5 g/cm³; calculated volume = 67 Å³/f.u.; E = -3.645 eV per atom
1.0
-0.188 0.427 -3.235
-0.417 -2.977 1.282
-7.094 1.241 0.576
Fe Hg Pb
1 1 1
direct
0.000 0.000 0.009
0.333 0.667 0.293
0.667 0.333 0.698

Entry 6:
Fe2HgPb (PBE, relaxed); formation energy = 0.62 eV per atom; spin magnetization = 5.46 μB/f.u.; SG = C2/m (12); calculated density = 11.9 g/cm³; calculated volume = 73 Å³/f.u.; E = -4.610 eV per atom
1.0
-2.013 -1.214 4.178
4.579 -3.892 -3.447
2.908 -0.360 1.306
Fe Hg Pb
2 1 1
direct
0.000 0.000 0.000
0.000 0.500 0.500
0.500 0.500 0.000
0.500 0.000 0.500

Entry 7:
FeHgPb3 (PBE, relaxed); formation energy = 0.22 eV per atom; spin magnetization = 1.97 μB/f.u.; SG = Pm-3m (221); calculated density = 10.4 g/cm³; calculated volume = 140 Å³/f.u.; E = -3.758 eV per atom
1.0
5.195 0.000 0.000
0.000 5.195 0.000
0.000 0.000 5.195
Pb Hg Fe
3 1 1
direct
0.000 0.500 0.000
0.000 0.000 0.500
0.500 0.000 0.000
0.500 0.500 0.500
0.000 0.000 0.000

Entry 8:
Fe2HgPb (PBE, relaxed); formation energy = 0.77 eV per atom; spin magnetization = 5.68 μB/f.u.; SG = I-42d (122); calculated density = 10.7 g/cm³; calculated volume = 81 Å³/f.u.; E = -4.468 eV per atom
1.0
7.434 0.000 0.000
0.000 7.434 0.000
3.717 3.717 2.917
Pb Hg Fe
2 2 4
direct
0.000 0.000 0.000
0.750 0.250 0.500
0.500 0.500 0.000
0.250 0.750 0.500
0.620 0.125 0.250
0.130 0.625 0.250
0.375 0.380 0.750
0.875 0.870 0.750

Entry 9:
Fe2HgPb (PBE, relaxed); formation energy = 0.58 eV per atom; spin magnetization = 5.41 μB/f.u.; SG = P2/m (10); calculated density = 11.2 g/cm³; calculated volume = 77 Å³/f.u.; E = -4.656 eV per atom
1.0
-1.400 -2.683 1.398
2.607 -2.067 -1.357
5.259 -0.450 4.403
Fe Hg Pb
2 1 1
direct
0.000 0.884 0.060
0.000 0.616 0.440
0.500 0.250 0.250
0.500 0.750 0.750

Entry 10:
Fe3HgPb (PBE, relaxed); formation energy = 1.33 eV per atom; spin magnetization = 9.09 μB/f.u.; SG = Pm-3m (221); calculated density = 8.2 g/cm³; calculated volume = 117 Å³/f.u.; E = -4.547 eV per atom
1.0
-0.473 -0.114 -4.861
1.472 -4.658 -0.034
-4.634 -1.468 0.485
Pb Hg Fe
1 1 3
direct
0.500 0.500 0.500
0.000 0.000 0.000
0.000 0.500 0.000
0.000 0.000 0.500
0.500 0.000 0.000

Entry 11:
FeHgPb (PBE, relaxed); formation energy = 0.47 eV per atom; spin magnetization = 2.66 μB/f.u.; SG = F-43m (216); calculated density = 11.0 g/cm³; calculated volume = 70 Å³/f.u.; E = -3.683 eV per atom
1.0
-2.706 -0.868 3.648
-2.876 -3.621 -0.064
0.843 -3.670 2.684
Fe Hg Pb
1 1 1
direct
0.750 0.750 0.750
0.000 0.000 0.000
0.500 0.500 0.500

Entry 12:
Fe2HgPb (PBE, relaxed); formation energy = 0.62 eV per atom; spin magnetization = 5.24 μB/f.u.; SG = I-4m2 (119); calculated density = 11.9 g/cm³; calculated volume = 72 Å³/f.u.; E = -4.618 eV per atom
1.0
-0.876 2.282 4.664
-4.246 -1.825 2.524
4.176 -2.219 -2.317
Fe Hg Pb
2 1 1
direct
0.000 0.000 0.000
0.250 0.750 0.500
0.500 0.500 0.000
0.750 0.250 0.500

Entry 13:
Fe2HgPb (PBE, relaxed); formation energy = 0.48 eV per atom; spin magnetization = 5.11 μB/f.u.; SG = Pm (6); calculated density = 11.3 g/cm³; calculated volume = 76 Å³/f.u.; E = -4.752 eV per atom
1.0
-0.627 -1.606 3.265
3.793 1.156 1.297
0.086 4.845 2.400
Fe Hg Pb
2 1 1
direct
0.000 0.202 0.973
0.500 0.046 0.278
0.000 0.483 0.402
0.500 0.768 0.847

Entry 14:
Fe2HgPb (PBE, relaxed); formation energy = 0.74 eV per atom; spin magnetization = 5.17 μB/f.u.; SG = F-43m (216); calculated density = 11.6 g/cm³; calculated volume = 75 Å³/f.u.; E = -4.495 eV per atom
1.0
-0.289 3.710 -2.914
-3.123 -0.019 -3.548
-3.774 2.841 0.158
Fe Hg Pb
2 1 1
direct
0.000 0.000 0.000
0.250 0.250 0.250
0.500 0.500 0.500
0.750 0.750 0.750

Entry 15:
Fe2HgPb (PBE, relaxed); formation energy = 0.62 eV per atom; spin magnetization = 5.59 μB/f.u.; SG = P4/mmm (123); calculated density = 11.8 g/cm³; calculated volume = 73 Å³/f.u.; E = -4.615 eV per atom
1.0
4.259 0.000 0.000
0.000 4.259 0.000
0.000 0.000 4.020
Fe Hg Pb
2 1 1
direct
0.000 0.000 0.000
0.500 0.500 0.000
0.500 0.000 0.500
0.000 0.500 0.500

Entry 16:
FeHgPb (PBE, relaxed); formation energy = 0.57 eV per atom; spin magnetization = 2.89 μB/f.u.; SG = P3m1 (156); calculated density = 11.3 g/cm³; calculated volume = 68 Å³/f.u.; E = -3.588 eV per atom
1.0
4.678 0.000 0.000
-2.339 4.051 0.000
0.000 0.000 3.600
Fe Hg Pb
1 1 1
direct
0.000 0.000 0.163
0.667 0.333 0.169
0.333 0.667 0.668

Entry 17:
Fe2HgPb (PBE, relaxed); formation energy = 0.60 eV per atom; spin magnetization = 5.33 μB/f.u.; SG = P4/mmm (123); calculated density = 11.5 g/cm³; calculated volume = 75 Å³/f.u.; E = -4.637 eV per atom
1.0
-0.413 3.446 -0.150
-0.497 -0.209 -3.428
-6.094 -0.691 0.926
Fe Hg Pb
2 1 1
direct
0.000 0.000 0.049
0.000 0.000 0.451
0.500 0.500 0.250
0.500 0.500 0.750

Entry 18:
FeHgPb (PBE, relaxed); formation energy = 0.48 eV per atom; spin magnetization = 2.69 μB/f.u.; SG = Fmm2 (42); calculated density = 11.5 g/cm³; calculated volume = 67 Å³/f.u.; E = -3.677 eV per atom
1.0
-2.438 -6.120 2.410
-2.402 -6.545 -0.736
2.626 -1.761 0.287
Fe Hg Pb
1 1 1
direct
0.991 0.991 0.009
0.364 0.364 0.636
0.646 0.646 0.354

Entry 19:
Fe2HgPb (PBE, relaxed); formation energy = 0.36 eV per atom; spin magnetization = 5.08 μB/f.u.; SG = Pmm2 (25); calculated density = 11.1 g/cm³; calculated volume = 78 Å³/f.u.; E = -4.876 eV per atom
1.0
3.196 0.000 0.000
0.000 3.132 0.000
0.000 0.000 7.773
Fe Hg Pb
2 1 1
direct
0.000 0.000 0.064
0.500 0.500 0.199
0.000 0.000 0.432
0.500 0.500 0.806

Entry 20:
Fe2HgPb (PBE, relaxed); formation energy = 0.62 eV per atom; spin magnetization = 5.55 μB/f.u.; SG = I4/mmm (139); calculated density = 11.8 g/cm³; calculated volume = 73 Å³/f.u.; E = -4.618 eV per atom
1.0
5.008 -0.067 0.000
1.425 4.802 0.000
-3.217 -2.367 3.023
Fe Hg Pb
2 1 1
direct
0.000 0.000 0.000
0.500 0.500 0.000
0.250 0.750 0.500
0.750 0.250 0.500